# RbVAs2O6

An optimized crystal structure of RbVAs2O6 (GGA+U, Alexandria via LeMat-Bulk).

Geometry as POSCAR:
```
RbVAs2O6
1.0
-6.454 -6.699 -0.379
3.226 -5.828 -3.053
-1.311 -2.021 6.920
Rb V As O
2 2 4 12
direct
0.250 0.928 0.072 Rb
0.750 0.072 0.928 Rb
0.250 0.241 0.759 V
0.750 0.759 0.241 V
0.430 0.668 0.453 As
0.070 0.547 0.332 As
0.570 0.332 0.547 As
0.930 0.453 0.668 As
0.216 0.023 0.709 O
0.284 0.291 0.977 O
0.784 0.977 0.291 O
0.716 0.709 0.023 O
0.577 0.783 0.453 O
0.923 0.547 0.217 O
0.423 0.217 0.547 O
0.077 0.453 0.783 O
0.918 0.683 0.608 O
0.582 0.392 0.317 O
0.082 0.317 0.392 O
0.418 0.608 0.683 O
```

Output
SG ... C2/c, No. 15
Density of states at the Fermi level ... 0.0 states/eV/f.u.
Volume ... 21.410 Å³/atom
DFT total energy ... -125.77 eV/cell